Li9TlAg2 | the Alexandria database | PBE | optimized geometry; ΔH_f (0 K) = -152 meV per atom
1.0
-2.2979 1.3114 3.2175
2.3038 -2.3125 2.5879
7.6252 9.4022 1.6137
Li Ag Tl
9 2 1
direct
0.0000 0.5000 0.8224
0.5000 0.0000 0.8224
0.0000 0.5000 0.5000
0.0000 0.5000 0.1776
0.5000 0.0000 0.1776
0.5000 0.5000 0.6606
0.5000 0.0000 0.5000
0.5000 0.5000 0.0000
0.5000 0.5000 0.3394
0.0000 0.0000 0.3394
0.0000 0.0000 0.6606
0.0000 0.0000 0.0000